(1)
Compound: Sr4SiMo
Source: Alexandria via LeMat-Bulk
Functional: GGA-PBE
Structure: optimized geometry

a = 6.7698 Å, b = 6.7698 Å, c = 6.7698 Å
α = 60.00°, β = 60.00°, γ = 60.00°
Closest atoms and distances in Å follow each position.
Fractional positions:
1 Sr 0.1253 0.1253 0.1253  6 Sr 3.38-3.39
2 Sr 0.1253 0.1253 0.6241  6 Sr 3.38-3.39
3 Sr 0.1253 0.6241 0.1253  6 Sr 3.38-3.39
4 Sr 0.6241 0.1253 0.1253  6 Sr 3.38-3.39
5 Si 0.5000 0.5000 0.5000  12 Sr 3.97, 4 Mo 4.15
6 Mo 0.7500 0.7500 0.7500  12 Sr 3.97, 4 Si 4.15

Results
volume: 36.56 Å³ per atom
DFT total energy: -2.62 eV/atom
space-group type: No. 216

(2)
Compound: ScSe2Cl
Source: Alexandria via LeMat-Bulk
Functional: GGA-PBE
Structure: optimized geometry

a = 4.4806 Å, b = 3.7814 Å, c = 7.6653 Å
α = 90.00°, β = 106.46°, γ = 90.00°
Closest atoms and distances in Å follow each position.
Fractional positions:
1 Sc 0.0000 0.0000 0.0000  2 Cl 2.54, 4 Se 2.66-2.74
2 Se 0.1231 0.5000 0.2543  2 Sc 2.66, 4 Se 2.95
3 Se 0.6032 0.0000 0.2133  2 Sc 2.73-2.74, 4 Se 2.95
4 Cl 0.8887 0.5000 0.7691  2 Sc 2.54

Results
ΔE to the lowest computed polymorph: 119 meV per atom
volume: 31.14 Å³ per atom
space-group type: No. 6